[1]
The following is a PBE calculation of an optimized crystal structure of Cd3SbH, from Alexandria via LeMat-Bulk.

POSCAR file:
```
Cd3SbH
1.0
9.1016 0.0000 0.0000
0.0000 4.9909 0.0000
-0.5805 0.0000 10.6161
Cd Sb H
12 4 4
Cartesian
0.7136 0.2696 2.2338
0.4234 2.2258 7.5419
1.2429 3.5402 4.5898
0.9527 3.9461 9.8978
3.3333 2.5249 1.5775
3.0431 4.9613 6.8856
5.4780 0.0295 3.7305
5.1878 2.4659 9.0385
7.5685 1.0448 0.7183
7.2782 1.4507 6.0263
8.0977 2.7650 3.0742
7.8075 4.7213 8.3822
2.8732 1.1459 4.0574
2.5830 1.3495 9.3655
5.9381 3.6413 1.2506
5.6479 3.8450 6.5586
1.4722 3.7334 6.5258
1.7625 3.7529 1.2177
6.7587 1.2379 9.3983
7.0489 1.2575 4.0903
```

Energy   -1.9348 eV/atom


[2]
The following is a PBE calculation of an optimized crystal structure of LaEr2MoN4, from Alexandria via LeMat-Bulk.

POSCAR file:
```
LaEr2MoN4
1.0
1.7154 -5.9411 0.0000
1.7154 5.9411 0.0000
0.0000 0.0000 11.8691
La Er Mo N
2 4 2 8
Cartesian
1.7154 4.9059 8.9018
1.7154 -4.9059 2.9673
1.7154 1.5357 6.4092
1.7154 1.5357 11.3945
1.7154 -1.5357 0.4747
1.7154 -1.5357 5.4599
1.7154 3.9083 2.9673
1.7154 -3.9083 8.9018
0.0000 0.0000 0.0000
0.0000 0.0000 5.9346
1.7154 2.8294 1.3888
1.7154 2.8294 4.5458
1.7154 0.8281 8.9018
1.7154 -0.8281 2.9673
1.7154 -2.8294 7.3233
1.7154 -2.8294 10.4803
```

Formation energy without anion corrections   -928.2 kJ/mol of formula units


[3]
The following is a PBE calculation of an optimized crystal structure of ReHPb3, from Alexandria via LeMat-Bulk.

POSCAR file:
```
ReHPb3
1.0
5.2988 0.0000 0.0000
0.0000 5.2988 0.0000
0.0000 0.0000 5.2988
Re H Pb
1 1 3
Cartesian
0.0000 0.0000 0.0000
2.6494 2.6494 2.6494
0.0000 0.0000 2.6494
0.0000 2.6494 0.0000
2.6494 0.0000 0.0000
```

Energy   -4.6571 eV/atom


[4]
The following is a PBE calculation of an optimized crystal structure of CaErMgHg, from Alexandria via LeMat-Bulk.

POSCAR file:
```
CaErMgHg
1.0
0.0000 3.7685 3.7685
3.7685 0.0000 3.7685
3.7685 3.7685 0.0000
Ca Er Mg Hg
1 1 1 1
Cartesian
0.0000 0.0000 0.0000
3.7685 3.7685 3.7685
5.6528 5.6528 5.6528
1.8843 1.8843 1.8843
```

Energy of formation from the pure elements   -0.27 eV/atom


[5]
The following is a PBE calculation of an optimized crystal structure of La2ZrBr, from Alexandria via LeMat-Bulk.

POSCAR file:
```
La2ZrBr
1.0
3.5521 0.0000 0.0000
0.0000 3.5521 0.0000
0.0000 0.0000 9.4695
La Zr Br
2 1 1
Cartesian
0.0000 0.0000 2.3511
0.0000 0.0000 7.1184
1.7761 1.7761 0.0000
1.7761 1.7761 4.7347
```

Formation energy without anion corrections   -177.3 kJ/mol of formula units


[6]
The following is a PBE calculation of an optimized crystal structure of AgMoCl3, from Alexandria via LeMat-Bulk.

POSCAR file:
```
AgMoCl3
1.0
5.0478 0.0000 0.0000
0.0000 5.0478 0.0000
0.0000 0.0000 5.0478
Ag Mo Cl
1 1 3
Cartesian
0.0000 0.0000 0.0000
2.5239 2.5239 2.5239
0.0000 0.0000 2.5239
0.0000 2.5239 0.0000
2.5239 0.0000 0.0000
```

Formation energy without anion corrections   211.1 kJ/mol of formula units


[7]
The following is a PBE calculation of an optimized crystal structure of TlHg2TeAu, from Alexandria via LeMat-Bulk.

POSCAR file:
```
TlHg2TeAu
1.0
5.3751 0.0000 0.0000
0.0000 5.3751 0.0000
0.0000 0.0000 5.7384
Tl Hg Te Au
1 2 1 1
Cartesian
0.0000 0.0000 0.0000
0.0000 2.6876 2.8692
2.6876 0.0000 2.8692
2.6876 2.6876 0.0000
2.6876 2.6876 2.8692
```

Formation energy without anion corrections   -2.6 kJ/mol of formula units


[8]
The following is a PBE calculation of an optimized crystal structure of SnIrNF2, from Alexandria via LeMat-Bulk.

POSCAR file:
```
SnIrNF2
1.0
4.1673 0.0000 0.0000
0.0000 4.1673 0.0000
0.0000 0.0000 4.1810
Sn Ir N F
1 1 1 2
Cartesian
0.0000 0.0000 0.0000
2.0837 2.0837 2.0905
0.0000 0.0000 2.0905
0.0000 2.0837 0.0000
2.0837 0.0000 0.0000
```

Formation energy without anion corrections   157.5 kJ/mol of formula units